No. 1
Compound: Rb2Hg3I7
Source: Alexandria
Functional: PBE
Structure: relaxed

It has space group Cmc2_1 (No. 36), with a = 35.4554 Å, b = 8.1601 Å, c = 8.4660 Å, α = 90.00°, β = 90.00° and γ = 90.00°. Symmetry generates all atoms from Rb at (0.1002, 0.2306, 0.0000), Hg at (0.0000, 0.1979, 0.4407), Hg at (0.2114, 0.2879, 0.5235), I at (0.0000, 0.1374, 0.8272), I at (0.0714, 0.3249, 0.4165), I at (0.1578, 0.0865, 0.6863) and I at (0.2172, 0.3820, 0.1853).

The value obtained for the volume is 51.03 Å³ per atom. As for the magnetization: 0.000 μB/atom. For the total energy, the calculation gives -1.75 eV/atom.

No. 2
Compound: AcPm2Nd7
Source: Alexandria
Functional: PBE
Structure: relaxed

It has space group Cmmm (No. 65), with a = 8.9989 Å, b = 16.3896 Å, c = 5.7735 Å, α = 90.00°, β = 90.00° and γ = 90.00°. Symmetry generates all atoms from Ac at (0.0000, 0.0000, 0.0000), Pm at (0.0000, 0.2984, 0.5000), Nd at (0.0000, 0.2352, 0.0000), Nd at (0.0000, 0.5000, 0.5000) and Nd at (0.1809, 0.1181, 0.5000).

The value obtained for the volume is 42.58 Å³ per atom. As for the magnetization: 0.000 μB/atom. As for the energy relative to the elements: 57.48 kJ/mol of atoms. The offset from the most stable computed form is 12.05 kcal/mol of atoms.

No. 3
Compound: Ce2ZrPb
Source: Alexandria
Functional: PBE
Structure: relaxed

It has space group R-3m (No. 166, hexagonal axes), with a = 3.2417 Å, b = 3.2417 Å, c = 35.2888 Å, α = 90.00°, β = 90.00° and γ = 120.00°. Symmetry generates all atoms from Ce at (0.0000, 0.0000, 0.0841), Zr at (0.0000, 0.0000, 0.0000) and Pb at (0.0000, 0.0000, 0.5000).

The value obtained for the volume is 26.76 Å³ per atom. As for the magnetization: 0.270 μB/atom. As for the energy relative to the elements: 13.28 kJ/mol of atoms. The offset from the most stable computed form is 8.00 kcal/mol of atoms.

No. 4
Compound: Ac2TaN4
Source: Alexandria
Functional: PBE
Structure: relaxed

It has space group P2_1/m (No. 11), with a = 6.2972 Å, b = 6.3258 Å, c = 7.3514 Å, α = 90.00°, β = 109.89° and γ = 90.00°. Symmetry generates all atoms from Ac at (0.1688, 0.2500, 0.0145), Ac at (0.2719, 0.2500, 0.5552), Ta at (0.2708, 0.7500, 0.8030), N at (0.0604, 0.5122, 0.7414), N at (0.4545, 0.7500, 0.0770) and N at (0.4886, 0.7500, 0.6676).

The value obtained for the volume is 19.67 Å³ per atom. As for the magnetization: 0.145 μB/atom. For the total energy, the calculation gives -8.56 eV/atom.

No. 5
Compound: InSbBr2
Source: Alexandria
Functional: PBE
Structure: relaxed

It has space group R-3m (No. 166, hexagonal axes), with a = 3.7728 Å, b = 3.7728 Å, c = 30.7891 Å, α = 90.00°, β = 90.00° and γ = 120.00°. Symmetry generates all atoms from In at (0.0000, 0.0000, 0.0000), Sb at (0.0000, 0.0000, 0.5000) and Br at (0.0000, 0.0000, 0.4096).

The value obtained for the volume is 31.63 Å³ per atom. As for the magnetization: 0.000 μB/atom. The offset from the most stable computed form is 1.40 kcal/mol of atoms.

No. 6
Compound: HgAs2
Source: Alexandria
Functional: PBE
Structure: relaxed

It has space group Pnma (No. 62), with a = 5.3509 Å, b = 5.3521 Å, c = 9.5390 Å, α = 90.00°, β = 90.00° and γ = 90.00°. Symmetry generates all atoms from Hg at (0.0008, 0.2500, 0.1247), As at (0.0003, 0.2500, 0.4939) and As at (0.0000, 0.2500, 0.7561).

The value obtained for the volume is 22.77 Å³ per atom. As for the magnetization: 0.000 μB/atom. As for the energy relative to the elements: 14.57 kJ/mol of atoms.

No. 7
Compound: Cd2Co2As
Source: Alexandria
Functional: PBE
Structure: relaxed

It has space group P4/mbm (No. 127), with a = 6.0302 Å, b = 6.0302 Å, c = 4.4157 Å, α = 90.00°, β = 90.00° and γ = 90.00°. Symmetry generates all atoms from Cd at (0.1649, 0.3351, 0.0000), Co at (0.1452, 0.6452, 0.5000) and As at (0.0000, 0.0000, 0.5000).

The value obtained for the volume is 16.06 Å³ per atom. As for the magnetization: 0.301 μB/atom. As for the energy relative to the elements: 6.99 kJ/mol of atoms.